(1)
Crystalline Co2POs at its relaxed geometry. Source: Alexandria via LeMat-Bulk, functional GGA-PBE.

Lattice parameters (Å, degrees): 2.6847 2.6847 6.4021 90.00 90.00 90.00
Sites, in units of the cell vectors:
Co 0.0000 0.0000 0.2084
Co 0.0000 0.0000 0.7916
P 0.5000 0.5000 0.0000
Os 0.5000 0.5000 0.5000

## Properties
Calculated formation energy   0.00 eV/atom
Space-group type   No. 123
Crystal system   tetragonal
Total moment   1.5 μB/f.u.
Raw total energy   -0.5669 Ry per atom
N(E_F)   3.9 states/eV/cell

---

(2)
Crystalline Co2POs at its relaxed geometry. Source: Alexandria via LeMat-Bulk, functional GGA-PBE.

Lattice parameters (Å, degrees): 2.7151 3.6922 4.8786 90.00 105.29 90.00
Sites, in units of the cell vectors:
Co 0.1380 0.0000 0.2676
Co 0.8620 0.0000 0.7324
P 0.5000 0.5000 0.5000
Os 0.5000 0.5000 0.0000

## Properties
Calculated formation energy   0.00 eV/atom
Space-group type   No. 10
Crystal system   monoclinic
Total moment   1.4 μB/f.u.
Raw total energy   -0.5665 Ry per atom
N(E_F)   4.1 states/eV/cell

---

(3)
Crystalline Co2POs at its relaxed geometry. Source: Alexandria via LeMat-Bulk, functional GGA-PBE.

Lattice parameters (Å, degrees): 4.3355 4.3355 4.6137 107.67 107.67 35.59
Sites, in units of the cell vectors:
Co 0.0000 0.0000 0.0000
Co 0.2162 0.2162 0.7115
P 0.4842 0.4842 0.5986
Os 0.7700 0.7700 0.2275

## Properties
Calculated formation energy   -0.01 eV/atom
Space-group type   No. 8
Crystal system   monoclinic
Total moment   0.0 μB/f.u.
Raw total energy   -0.5676 Ry per atom
N(E_F)   3.4 states/eV/cell

---

(4)
Crystalline CoP3Os at its relaxed geometry. Source: Alexandria via LeMat-Bulk, functional GGA-PBE.

Lattice parameters (Å, degrees): 4.2258 4.2258 4.2258 90.00 90.00 90.00
Sites, in units of the cell vectors:
Co 0.0000 0.0000 0.0000
P 0.0000 0.0000 0.5000
P 0.0000 0.5000 0.0000
P 0.5000 0.0000 0.0000
Os 0.5000 0.5000 0.5000

## Properties
Calculated formation energy   0.94 eV/atom
Space-group type   No. 221
Crystal system   cubic
Total moment   0.0 μB/f.u.
Raw total energy   -0.4389 Ry per atom
N(E_F)   2.9 states/eV/cell

---

(5)
Crystalline CoP2Os at its relaxed geometry. Source: Alexandria via LeMat-Bulk, functional GGA-PBE.

Lattice parameters (Å, degrees): 7.2168 7.2168 7.2168 22.90 22.90 22.90
Sites, in units of the cell vectors:
Co 0.0000 0.0000 0.0000
P 0.2535 0.2535 0.2535
P 0.7465 0.7465 0.7465
Os 0.5000 0.5000 0.5000

## Properties
Calculated formation energy   -0.07 eV/atom
Space-group type   No. 166
Crystal system   trigonal
Total moment   0.0 μB/f.u.
Raw total energy   -0.5411 Ry per atom
N(E_F)   3.5 states/eV/cell

---

(6)
Crystalline Co2POs at its relaxed geometry. Source: Alexandria via LeMat-Bulk, functional GGA-PBE.

Lattice parameters (Å, degrees): 8.7076 8.7076 8.7076 156.68 156.68 33.21
Sites, in units of the cell vectors:
Co 0.0959 0.6250 0.9709
Co 0.3750 0.3459 0.4709
Co 0.6541 0.1250 0.0291
Co 0.8750 0.9041 0.5291
P 0.0000 0.0000 0.0000
P 0.7500 0.2500 0.5000
Os 0.2500 0.7500 0.5000
Os 0.5000 0.5000 0.0000

## Properties
Calculated formation energy   0.42 eV/atom
Space-group type   No. 122
Crystal system   tetragonal
Total moment   3.0 μB/f.u.
Raw total energy   -0.5360 Ry per atom
N(E_F)   11.0 states/eV/cell